Version a
A plane-wave DFT calculation with PBE was carried out for crystalline Ba2Nb2Tl at its relaxed geometry.

Values from the calculation:
Size of the total moment   0.00 Bohr magnetons per cell
Volume   36.701 Å³/atom

a b c (Å): 10.150 10.150 3.562
angles (deg): 90.00 90.00 90.00
Space group P4/mbm (No. 127)
Unique sites:
Ba 0.208 0.292 0.000 [4 per cell]
Nb 0.077 0.577 0.500 [4 per cell]
Tl 0.000 0.000 0.000 [2 per cell]

---

Version b
A plane-wave DFT calculation with PBE was carried out for crystalline Ba2Nb2Tl at its relaxed geometry.

Values from the calculation:
Size of the total moment   0.00 Bohr magnetons per cell
Volume   33.300 Å³/atom

a b c (Å): 3.762 3.762 23.524
angles (deg): 90.00 90.00 90.00
Space group I4/mmm (No. 139)
Unique sites:
Ba 0.000 0.000 0.108 [4 per cell]
Nb 0.000 0.500 0.250 [4 per cell]
Tl 0.000 0.000 0.500 [2 per cell]

---

Bottom line: version b, by a margin of 41.0 kJ/mol of atoms.

---

Version a
A plane-wave DFT calculation with PBE was carried out for crystalline BaNbV3 at its relaxed geometry.

Values from the calculation:
Size of the total moment   1.10 Bohr magnetons per cell
Volume   21.269 Å³/atom

a b c (Å): 4.738 4.738 4.738
angles (deg): 90.00 90.00 90.00
Space group Pm-3m (No. 221)
Unique sites:
Ba 0.000 0.000 0.000 [1 per cell]
Nb 0.500 0.500 0.500 [1 per cell]
V 0.000 0.000 0.500 [3 per cell]

---

Version b
A plane-wave DFT calculation with PBE was carried out for crystalline BaNbV3 at its relaxed geometry.

Values from the calculation:
Size of the total moment   6.51 Bohr magnetons per cell
Volume   24.719 Å³/atom

a b c (Å): 4.981 4.981 4.981
angles (deg): 90.00 90.00 90.00
Space group Pm-3m (No. 221)
Unique sites:
Ba 0.000 0.000 0.000 [1 per cell]
Nb 0.500 0.500 0.500 [1 per cell]
V 0.000 0.500 0.500 [3 per cell]

---

Bottom line: version b, by a margin of 122.1 kJ/mol of atoms.

---

Version a
A plane-wave DFT calculation with PBE was carried out for crystalline BaNbV at its relaxed geometry.

Values from the calculation:
Size of the total moment   0.92 Bohr magnetons per cell
Volume   25.463 Å³/atom

a b c (Å): 3.449 3.449 12.844
angles (deg): 90.00 90.00 90.00
Space group I4mm (No. 107)
Unique sites:
Ba 0.000 0.000 0.000 [2 per cell]
Nb 0.000 0.000 0.718 [2 per cell]
V 0.000 0.000 0.291 [2 per cell]

---

Version b
A plane-wave DFT calculation with PBE was carried out for crystalline BaNbV at its relaxed geometry.

Values from the calculation:
Size of the total moment   0.00 Bohr magnetons per cell
Volume   27.802 Å³/atom

a b c (Å): 24.583 4.001 3.417
angles (deg): 90.00 96.84 90.00
Space group C2/m (No. 12)
Unique sites:
Ba 0.173 0.000 0.456 [4 per cell]
Nb 0.051 0.500 0.793 [4 per cell]
V 0.039 0.000 0.281 [4 per cell]

---

Bottom line: version b, by a margin of 32.7 kJ/mol of atoms.

---

Version a
A plane-wave DFT calculation with PBE was carried out for crystalline BaNbV2 at its relaxed geometry.

Values from the calculation:
Size of the total moment   14.79 Bohr magnetons per cell
Volume   21.023 Å³/atom

a b c (Å): 6.955 6.955 6.955
angles (deg): 90.00 90.00 90.00
Space group Fm-3m (No. 225)
Unique sites:
Ba 0.000 0.000 0.000 [4 per cell]
Nb 0.000 0.000 0.500 [4 per cell]
V 0.250 0.250 0.250 [8 per cell]

---

Version b
A plane-wave DFT calculation with PBE was carried out for crystalline BaNbV2 at its relaxed geometry.

Values from the calculation:
Size of the total moment   13.78 Bohr magnetons per cell
Volume   29.048 Å³/atom

a b c (Å): 5.208 5.208 17.138
angles (deg): 90.00 90.00 90.00
Space group I4_1/amd (No. 141, origin choice 2)
Unique sites:
Ba 0.000 0.250 0.375 [4 per cell]
Nb 0.000 0.250 0.875 [4 per cell]
V 0.000 0.000 0.000 [8 per cell]

---

Bottom line: version a, by a margin of 19.7 kJ/mol of atoms.